Entry 1:
The following is a PBE with a Hubbard U calculation of crystalline Ba3Fe2TcO9 at its relaxed geometry, from Alexandria.

Unit cell a=5.763 b=5.763 c=7.076 alpha=90.00 beta=90.00 gamma=120.00
Sites, in units of the cell vectors:
Ba1 0.333 0.667 0.675
Ba2 0.000 0.000 0.000
Ba3 0.667 0.333 0.325
Fe1 0.333 0.667 0.153
Fe2 0.667 0.333 0.847
Tc1 0.000 0.000 0.500
O1 0.840 0.160 0.658
O2 0.840 0.679 0.658
O3 0.321 0.160 0.658
O4 0.679 0.840 0.342
O5 0.160 0.321 0.342
O6 0.160 0.840 0.342
O7 0.500 0.000 0.000
O8 0.000 0.500 0.000
O9 0.500 0.500 0.000

***

Entry 2:
The following is a PBE with a Hubbard U calculation of crystalline BaFeTcO6 at its relaxed geometry, from Alexandria.

Unit cell a=5.301 b=5.299 c=5.680 alpha=89.98 beta=89.96 gamma=59.99
Sites, in units of the cell vectors:
Ba1 0.000 0.000 0.000
Fe1 0.667 0.667 0.500
Tc1 0.333 0.333 0.500
O1 0.017 0.390 0.305
O2 0.390 0.017 0.695
O3 0.593 0.390 0.695
O4 0.017 0.593 0.695
O5 0.390 0.593 0.305
O6 0.593 0.017 0.305

***

Entry 3:
The following is a PBE with a Hubbard U calculation of crystalline Ba3FeTe2O9 at its relaxed geometry, from Alexandria.

Unit cell a=5.947 b=5.947 c=7.306 alpha=90.00 beta=90.00 gamma=120.00
Sites, in units of the cell vectors:
Ba1 0.333 0.667 0.666
Ba2 0.000 0.000 0.000
Ba3 0.667 0.333 0.334
Fe1 0.000 0.000 0.500
Te1 0.333 0.667 0.179
Te2 0.667 0.333 0.821
O1 0.834 0.166 0.663
O2 0.834 0.667 0.663
O3 0.333 0.166 0.663
O4 0.667 0.834 0.337
O5 0.166 0.333 0.337
O6 0.166 0.834 0.337
O7 0.500 0.000 0.000
O8 0.000 0.500 0.000
O9 0.500 0.500 0.000

***

Entry 4:
The following is a PBE with a Hubbard U calculation of crystalline BaFe2TeO8 at its relaxed geometry, from Alexandria.

Unit cell a=5.352 b=5.352 c=7.414 alpha=90.00 beta=90.00 gamma=120.00
Sites, in units of the cell vectors:
Ba1 0.000 0.000 0.000
Fe1 0.667 0.333 0.296
Fe2 0.333 0.667 0.704
Te1 0.000 0.000 0.500
O1 0.333 0.667 0.935
O2 0.299 0.282 0.343
O3 0.718 0.018 0.343
O4 0.667 0.333 0.065
O5 0.282 0.982 0.657
O6 0.701 0.718 0.657
O7 0.018 0.299 0.657
O8 0.982 0.701 0.343

***

| no. | size of the total moment (μB per formula unit) | total DFT energy (no corrections) (eV per cell) |
| --- | --- | --- |
| 1 | 8.99 | -102.7 |
| 2 | 5.00 | -63.2 |
| 3 | 4.23 | -90.6 |
| 4 | 8.00 | -71.0 |